(1)
# PBE HfPa2Bi, relaxed
# DFT formation energy in kJ/mol of formula units: 2.4
# Size of the total moment in Bohr magnetons per cell: 0.00
# D(E_F) in states/eV/cell: 12.100
data_HfPa2Bi
_space_group_name_H-M_alt 'P 1 21/m 1'
_space_group_IT_number 11
_cell_length_a 4.2777
_cell_length_b 4.4465
_cell_length_c 10.9287
_cell_angle_alpha 90.00
_cell_angle_beta 101.25
_cell_angle_gamma 90.00
loop_
_space_group_symop_operation_xyz
'x,y,z'
'-x,-y,-z'
'-x,y+1/2,-z'
'x,-y+1/2,z'
loop_
_atom_site_label
_atom_site_type_symbol
_atom_site_fract_x
_atom_site_fract_y
_atom_site_fract_z
_atom_site_occupancy
Hf1 Hf 0.1769 0.2500 0.3519 1
Pa1 Pa 0.0561 0.7500 0.1132 1
Pa2 Pa 0.4362 0.7500 0.8737 1
Bi1 Bi 0.3176 0.2500 0.6367 1

---

(2)
# PBE HfPa2Bi, relaxed
# DFT formation energy in kJ/mol of formula units: 124.1
# Size of the total moment in Bohr magnetons per cell: 0.00
# D(E_F) in states/eV/cell: 31.915
data_HfPa2Bi
_space_group_name_H-M_alt 'F m -3 m'
_space_group_IT_number 225
_space_group_name_Hall '-F 4 2 3'
_cell_length_a 7.4892
_cell_length_b 7.4892
_cell_length_c 7.4892
_cell_angle_alpha 90.00
_cell_angle_beta 90.00
_cell_angle_gamma 90.00
loop_
_atom_site_label
_atom_site_type_symbol
_atom_site_fract_x
_atom_site_fract_y
_atom_site_fract_z
_atom_site_occupancy
Hf1 Hf 0.0000 0.0000 0.0000 1
Pa1 Pa 0.2500 0.2500 0.2500 1
Bi1 Bi 0.0000 0.0000 0.5000 1

---

(3)
# PBE HfPa3Bi6, relaxed
# DFT formation energy in kJ/mol of formula units: 79.8
# Size of the total moment in Bohr magnetons per cell: 3.29
# D(E_F) in states/eV/cell: 26.966
data_HfPa3Bi6
_space_group_name_H-M_alt 'C m c 21'
_space_group_IT_number 36
_cell_length_a 12.2469
_cell_length_b 14.6978
_cell_length_c 7.4262
_cell_angle_alpha 90.00
_cell_angle_beta 90.00
_cell_angle_gamma 90.00
loop_
_space_group_symop_operation_xyz
'x,y,z'
'-x,-y,z+1/2'
'-x,y,z'
'x,-y,z+1/2'
'x+1/2,y+1/2,z'
'-x+1/2,-y+1/2,z+1/2'
'-x+1/2,y+1/2,z'
'x+1/2,-y+1/2,z+1/2'
loop_
_atom_site_label
_atom_site_type_symbol
_atom_site_fract_x
_atom_site_fract_y
_atom_site_fract_z
_atom_site_occupancy
Hf1 Hf 0.0000 0.1589 0.0000 1
Pa1 Pa 0.0000 0.3997 0.6471 1
Pa2 Pa 0.1779 0.0999 0.5260 1
Bi1 Bi 0.0000 0.0027 0.2642 1
Bi2 Bi 0.0000 0.2415 0.3587 1
Bi3 Bi 0.1625 0.4585 0.3387 1
Bi4 Bi 0.1733 0.2602 0.8220 1